The following is a PBE-GGA calculation of crystalline BaLaB3 at its relaxed geometry, from Alexandria.

Values from the calculation:
Space-group type: Pm-3m, No. 221
Size of the total moment: 0.00 μB per formula unit
Relative energy among the computed polymorphs: 0.0 meV/atom
VASP energy: -3.924 eV per atom
Crystal system: cubic

a = 4.957 Å, b = 4.957 Å, c = 4.957 Å
α = 90.00°, β = 90.00°, γ = 90.00°
Positions (direct):
Ba (0.000, 0.000, 0.000)
La (0.500, 0.500, 0.500)
B (0.000, 0.500, 0.500)
B (0.500, 0.000, 0.500)
B (0.500, 0.500, 0.000)


The following is a PBE-GGA calculation of crystalline Si3Br at its relaxed geometry, from Alexandria.

Values from the calculation:
Space-group type: P4/mmm, No. 123
Size of the total moment: 0.00 μB per formula unit
Relative energy among the computed polymorphs: 296.0 meV/atom
VASP energy: -3.931 eV per atom
Formation energy from raw total energies: 12.8 kcal/mol of atoms
Crystal system: tetragonal

a = 3.255 Å, b = 3.255 Å, c = 6.888 Å
α = 90.00°, β = 90.00°, γ = 90.00°
Positions (direct):
Si (0.000, 0.000, 0.000)
Si (0.500, 0.500, 0.193)
Si (0.500, 0.500, 0.807)
Br (0.000, 0.000, 0.500)


The following is a PBE-GGA calculation of crystalline SmSc2Zn2 at its relaxed geometry, from Alexandria.

Values from the calculation:
Space-group type: P2_1/m, No. 11
Size of the total moment: 0.00 μB per formula unit
VASP energy: -4.231 eV per atom
Crystal system: monoclinic

a = 3.455 Å, b = 5.004 Å, c = 12.872 Å
α = 90.00°, β = 97.71°, γ = 90.00°
Positions (direct):
Sm (0.146, 0.250, 0.290)
Sm (0.854, 0.750, 0.710)
Sc (0.047, 0.750, 0.093)
Sc (0.234, 0.750, 0.467)
Sc (0.766, 0.250, 0.533)
Sc (0.953, 0.250, 0.907)
Zn (0.359, 0.250, 0.720)
Zn (0.456, 0.750, 0.913)
Zn (0.544, 0.250, 0.087)
Zn (0.641, 0.750, 0.280)